DFT (PBE with a Hubbard U) results for a geometry-optimized Ni3OF5 structure. Values from VASP.

Calculated values
Space group: No. 10
Electronic total energy (eV/atom): -4.2766
Crystal system: monoclinic

Geometry as Quantum ESPRESSO input:
```
&SYSTEM
  ibrav = 0, nat = 18, ntyp = 3
/
ATOMIC_SPECIES
F 19.00 F.upf
O 16.00 O.upf
Ni 58.69 Ni.upf
ATOMIC_POSITIONS angstrom
F -8.953 -1.292 10.530
O -1.838 -0.500 3.058
Ni -5.182 -1.354 5.445
F -1.411 -1.417 0.360
F -7.772 0.435 7.030
F -5.732 -2.249 7.174
F -4.632 -0.459 3.716
F -3.236 -1.451 6.007
F -2.592 -3.143 3.860
Ni -8.313 -0.483 8.771
F -8.178 1.349 9.702
F -5.031 0.419 6.417
F -0.089 -2.381 2.722
Ni -2.051 -2.226 2.118
Ni 0.000 0.000 0.000
O -6.429 -0.532 9.367
Ni -3.155 0.891 3.338
Ni -5.112 -1.922 9.086
CELL_PARAMETERS angstrom
-2.097 -1.677 -1.535
1.289 -3.820 2.413
-9.556 2.789 10.012
```